Co3O2F4 (PBE with a Hubbard U, relaxed); energy above the most stable polymorph in this dataset = 0.019 eV per atom; calculated total energy = -5.20 eV/atom; space group = No. 5
1.0
-1.992 -2.224 3.424
4.064 -1.432 1.439
0.712 7.769 5.269
F Co O
8 6 4
Cartesian
3.219 3.575 5.315 F
2.997 -1.572 1.789 F
-0.717 -2.057 3.006 F
1.655 -1.363 4.367 F
0.910 2.806 4.201 F
3.022 0.990 3.683 F
1.695 1.284 5.989 F
1.209 5.487 5.738 F
1.123 -1.817 2.403 Co
1.397 3.373 6.042 Co
1.133 0.707 4.173 Co
2.701 2.892 9.038 Co
-1.561 1.671 6.034 Co
0.289 1.248 1.026 Co
0.782 0.151 2.421 O
-0.361 3.172 6.499 O
-0.549 0.459 4.844 O
2.016 3.964 7.706 O